(1)
! SiSb3, optimized geometry, DFT PBE; values from VASP
! DOS(E_F): 0.468 states/eV per atom
! Symmetry: I4/mmm (139)
! ΔE to the lowest computed polymorph: 323 meV/atom
! Volume: 24.97 A^3/atom
! ΔE_f (raw): 0.50 eV per atom
&SYSTEM
  ibrav = 0, nat = 4, ntyp = 2
/
ATOMIC_SPECIES
Sb 121.76 Sb.upf
Si 28.09 Si.upf
ATOMIC_POSITIONS angstrom
Sb 0.9940 2.6925 1.6243
Sb 3.8638 2.7327 0.0000
Sb 2.8698 0.0402 1.6243
Si 0.0000 0.0000 0.0000
CELL_PARAMETERS angstrom
5.7396 0.0804 0.0000
1.9880 5.3849 0.0000
-3.8638 -2.7327 3.2486



(2)
! Sm4SiSb, optimized geometry, DFT PBE; values from VASP
! DOS(E_F): 1.025 states/eV per atom
! Symmetry: C2/c (15)
! Volume: 30.24 A^3/atom
! ΔE_f (raw): -0.46 eV per atom
&SYSTEM
  ibrav = 0, nat = 12, ntyp = 3
/
ATOMIC_SPECIES
Sm 150.36 Sm.upf
Si 28.09 Si.upf
Sb 121.76 Sb.upf
ATOMIC_POSITIONS angstrom
Sm 0.6657 -1.8424 6.4324
Sm 3.7096 3.0281 1.4306
Sm 2.3782 6.8551 1.6749
Sm -0.6657 1.9846 6.6766
Sm 3.6929 4.8342 5.5077
Sm 0.6490 4.0055 2.8438
Sm -0.6490 0.1785 2.5996
Sm 2.3948 1.0072 5.2635
Si 1.5219 -1.3206 3.8094
Si -1.5219 2.5064 4.0536
Sb 5.3052 5.7405 0.3663
Sb 0.7826 1.9135 0.1221
CELL_PARAMETERS angstrom
6.0877 0.0000 0.0000
0.0000 7.6540 0.4884
-3.0439 -2.6413 7.6188



(3)
! Sm5Si2Sb, optimized geometry, DFT PBE; values from VASP
! DOS(E_F): 1.165 states/eV per atom
! Symmetry: I4/mcm (140)
! Volume: 27.14 A^3/atom
! ΔE_f (raw): -0.73 eV per atom
&SYSTEM
  ibrav = 0, nat = 16, ntyp = 3
/
ATOMIC_SPECIES
Sm 150.36 Sm.upf
Si 28.09 Si.upf
Sb 121.76 Sb.upf
ATOMIC_POSITIONS angstrom
Sm -4.1010 -3.2303 2.6479
Sm -0.3448 -8.3387 2.1189
Sm 0.0000 0.0000 0.0000
Sm 0.8269 -5.4763 0.4261
Sm -5.4706 2.0280 0.4730
Sm -5.4661 -1.8386 -1.0028
Sm -4.1055 0.6362 4.1236
Sm -0.3494 -4.4721 3.5947
Sm -1.7100 -6.9469 -1.5317
Sm -1.7145 -3.0804 -0.0560
Si 0.8145 -2.5771 1.5051
Si -0.1935 -4.4615 -2.3123
Si 1.8472 -6.4911 3.1646
Si 0.8393 -8.3756 -0.6529
Sb -2.4943 -5.8935 1.5090
Sb -3.3212 -0.4172 1.0829
CELL_PARAMETERS angstrom
-0.8082 -6.1331 -4.8417
2.4620 -4.8195 5.6940
-7.4692 4.6419 1.7397



(4)
! Sm6SiSb2, optimized geometry, DFT PBE; values from VASP
! DOS(E_F): 1.155 states/eV per atom
! Symmetry: P2_1/c (14)
! Volume: 30.27 A^3/atom
! ΔE_f (raw): -0.66 eV per atom
&SYSTEM
  ibrav = 0, nat = 18, ntyp = 3
/
ATOMIC_SPECIES
Sm 150.36 Sm.upf
Si 28.09 Si.upf
Sb 121.76 Sb.upf
ATOMIC_POSITIONS angstrom
Sm 6.0052 -3.5725 -7.2980
Sm 6.9894 -5.4292 -3.8924
Sm 10.2630 -7.0547 -1.8516
Sm 4.6974 -5.2440 -0.1396
Sm 7.9092 -6.8976 1.9757
Sm 3.9068 -3.4259 -3.3305
Sm 6.1393 -3.6412 3.3605
Sm 5.1551 -1.7845 -0.0451
Sm 1.8815 -0.1590 -2.0859
Sm 7.4471 -1.9697 -3.7979
Sm 4.2353 -0.3161 -5.9132
Sm 8.2378 -3.7878 -0.6070
Si 2.0881 -1.6194 -4.5321
Si 3.9842 -1.9875 2.5634
Sb 7.0974 -7.1466 -1.1734
Sb 9.9594 -4.2005 -3.3382
Sb 2.1851 -3.0132 -0.5993
Sb 5.0471 -0.0671 -2.7640
CELL_PARAMETERS angstrom
-0.9543 -5.5677 -2.8959
5.1305 2.3289 -6.1684
7.9684 -3.9749 5.1268



(5)
! Sm3SiSb, optimized geometry, DFT PBE; values from VASP
! DOS(E_F): 1.010 states/eV per atom
! Symmetry: P-1 (2)
! Volume: 30.87 A^3/atom
! ΔE_f (raw): -0.55 eV per atom
&SYSTEM
  ibrav = 0, nat = 10, ntyp = 3
/
ATOMIC_SPECIES
Sm 150.36 Sm.upf
Si 28.09 Si.upf
Sb 121.76 Sb.upf
ATOMIC_POSITIONS angstrom
Sm 0.0047 4.5404 0.4930
Sm 0.0021 0.4273 5.0340
Sm 2.8421 3.0736 6.7987
Sm 0.0006 0.7943 1.7277
Sm 2.8380 -0.6725 8.0335
Sm 2.8406 3.4406 3.4924
Si 2.8454 4.4153 0.8718
Si -0.0027 -0.5474 7.6546
Sb 2.8423 0.3656 3.0282
Sb 0.0003 3.5023 5.4982
CELL_PARAMETERS angstrom
5.6817 0.0026 -0.0020
-2.8333 6.3806 0.0247
-0.0057 -2.5153 8.5038



(6)
! SmSiSb, optimized geometry, DFT PBE; values from VASP
! DOS(E_F): 0.496 states/eV per atom
! Symmetry: I4_1md (109)
! Volume: 27.81 A^3/atom
! ΔE_f (raw): -0.08 eV per atom
&SYSTEM
  ibrav = 0, nat = 6, ntyp = 3
/
ATOMIC_SPECIES
Si 28.09 Si.upf
Sm 150.36 Sm.upf
Sb 121.76 Sb.upf
ATOMIC_POSITIONS angstrom
Si -2.7335 -3.8903 0.0310
Si -0.2800 -5.0208 2.7332
Sm -0.3916 -3.6206 -1.6683
Sm 0.1069 -0.2464 0.0536
Sb 1.8735 -4.3170 0.9393
Sb -1.3135 -2.6393 2.2150
CELL_PARAMETERS angstrom
-4.4190 -1.1494 3.5315
-2.9519 -2.2437 -4.4241
5.6405 -2.8083 1.4265



(7)
! Sm4SiSb2, optimized geometry, DFT PBE; values from VASP
! DOS(E_F): 0.977 states/eV per atom
! Symmetry: Imma (74)
! Volume: 31.57 A^3/atom
! ΔE_f (raw): -0.73 eV per atom
&SYSTEM
  ibrav = 0, nat = 14, ntyp = 3
/
ATOMIC_SPECIES
Sm 150.36 Sm.upf
Si 28.09 Si.upf
Sb 121.76 Sb.upf
ATOMIC_POSITIONS angstrom
Sm 6.3735 -0.1853 1.9413
Sm 1.0709 3.0715 1.3743
Sm 4.4583 1.5965 4.6911
Sm 3.9622 -2.8832 4.6295
Sm 1.9412 -1.0032 2.0029
Sm -0.1457 -2.3379 5.4160
Sm 0.3504 2.1418 5.4766
Sm 5.5033 3.8894 1.3136
Si -0.7979 3.9976 3.4742
Si -3.1238 -3.6186 6.7905
Sb 2.1563 -0.3707 5.0536
Sb 2.8670 5.5094 1.7367
Sb 3.7222 1.4432 1.6582
Sb -1.9610 0.1890 5.1322
CELL_PARAMETERS angstrom
8.2348 -1.1195 -0.1581
-1.7105 8.1325 0.1578
-3.1321 -3.6274 6.7905



(8)
! Sm6Si2SbTe3, optimized geometry, DFT PBE; values from VASP
! DOS(E_F): 0.212 states/eV per atom
! Symmetry: C2/m (12)
! Volume: 29.95 A^3/atom
! ΔE_f (raw): -1.20 eV per atom
&SYSTEM
  ibrav = 0, nat = 12, ntyp = 4
/
ATOMIC_SPECIES
Sm 150.36 Sm.upf
Si 28.09 Si.upf
Sb 121.76 Sb.upf
Te 127.60 Te.upf
ATOMIC_POSITIONS angstrom
Sm 8.0634 2.5799 2.6485
Sm 4.4835 0.4946 3.5678
Sm 0.8555 2.1951 2.9985
Sm 2.0066 -0.7908 0.3474
Sm 6.9124 5.5658 5.2996
Sm 4.4354 4.2803 2.0792
Si 5.7462 3.0194 4.4439
Si 3.1727 1.7555 1.2031
Sb -0.5342 -0.4489 2.0637
Te 3.3919 -2.4124 2.6530
Te 1.8478 5.0604 3.8786
Te 7.0711 -0.2855 1.7684
CELL_PARAMETERS angstrom
-1.0685 -0.8977 4.1274
7.8522 -3.9270 1.1786
2.1352 9.5997 0.3411